(1)
{"formula": "KBPt3", "functional": "PBE", "state": "relaxed", "cell": [[4.4764, 0.0000, 3.5901], [-2.2382, 3.8767, 3.5901], [-2.2382, -3.8767, 3.5901]], "species": ["K", "K", "B", "B", "Pt", "Pt", "Pt", "Pt", "Pt", "Pt"], "frac_coords": [[0.0000, 0.0000, 0.0000], [0.5000, 0.5000, 0.5000], [0.2500, 0.2500, 0.2500], [0.7500, 0.7500, 0.7500], [0.9986, 0.5014, 0.2500], [0.5014, 0.2500, 0.9986], [0.2500, 0.9986, 0.5014], [0.7500, 0.0014, 0.4986], [0.4986, 0.7500, 0.0014], [0.0014, 0.4986, 0.7500]], "dos_at_fermi_per_ev_cell": 2.2, "formation_enthalpy_0k_ev_per_atom": 0.2562, "magnetic_moment_mub_per_atom": 0.0000, "dft_energy_ry_per_atom": -0.3619}

---

(2)
{"formula": "Na2CrCl6", "functional": "PBE", "state": "relaxed", "cell": [[-3.2485, 2.9664, -4.4050], [-5.2997, -2.1430, 2.4651], [-0.6531, 9.6258, 6.9639]], "species": ["Na", "Na", "Na", "Na", "Cr", "Cr", "Cl", "Cl", "Cl", "Cl", "Cl", "Cl", "Cl", "Cl", "Cl", "Cl", "Cl", "Cl"], "frac_coords": [[0.0000, 0.0000, 0.3320], [0.5000, 0.5000, 0.8320], [0.5000, 0.5000, 0.1680], [0.0000, 0.0000, 0.6680], [0.0000, 0.0000, 0.0000], [0.5000, 0.5000, 0.5000], [0.3168, 0.3168, 0.3604], [0.6832, 0.6832, 0.3604], [0.1832, 0.8168, 0.8604], [0.8168, 0.1832, 0.8604], [0.1832, 0.8168, 0.1396], [0.8168, 0.1832, 0.1396], [0.3168, 0.3168, 0.6396], [0.6832, 0.6832, 0.6396], [0.2611, 0.2611, 0.0000], [0.7389, 0.7389, 0.0000], [0.2389, 0.7611, 0.5000], [0.7611, 0.2389, 0.5000]], "dos_at_fermi_per_ev_cell": 15.5, "magnetic_moment_mub_per_atom": 0.2195, "relative_energy_mev_per_atom": 30, "formation_energy_uncorrected_ev_per_atom": -1.2457, "dft_energy_ry_per_atom": -0.2822}

---

(3)
{"formula": "RbCaInO3", "functional": "PBE", "state": "relaxed", "cell": [[-1.5282, -2.5391, -1.7974], [6.1855, -2.6001, 1.7556], [-4.7889, -4.4240, 10.3209]], "species": ["Rb", "Rb", "Ca", "Ca", "In", "In", "O", "O", "O", "O", "O", "O"], "frac_coords": [[0.8118, 0.6236, 0.7500], [0.1882, 0.3764, 0.2500], [0.0000, 0.0000, 0.5000], [0.0000, 0.0000, 0.0000], [0.5451, 0.0901, 0.7500], [0.4549, 0.9099, 0.2500], [0.5470, 0.0939, 0.3867], [0.4530, 0.9061, 0.6133], [0.4530, 0.9061, 0.8867], [0.5470, 0.0939, 0.1133], [0.1352, 0.2704, 0.7500], [0.8648, 0.7296, 0.2500]], "magnetic_moment_mub_per_atom": 0.0000, "formation_energy_uncorrected_ev_per_atom": -1.8495, "dft_energy_ry_per_atom": -0.3881}

---

(4)
{"formula": "As2IrAu", "functional": "PBE", "state": "relaxed", "cell": [[5.1056, -0.2381, 0.1123], [3.9517, 3.2416, 0.1123], [0.9127, 0.3027, 4.8306]], "species": ["As", "As", "Ir", "Au"], "frac_coords": [[0.0977, 0.0977, 0.8997], [0.2471, 0.2471, 0.2689], [0.7312, 0.7312, 0.5897], [0.4240, 0.4240, 0.7417]], "dos_at_fermi_per_ev_cell": 1.5, "formation_enthalpy_0k_ev_per_atom": 0.1339, "magnetic_moment_mub_per_atom": 0.0000, "relative_energy_mev_per_atom": 186, "dft_energy_ry_per_atom": -0.3841}

---

(5)
{"formula": "NdAl3Ni2", "functional": "PBE", "state": "relaxed", "cell": [[5.3643, 0.0000, 0.0000], [-2.6821, 4.6456, 0.0000], [0.0000, 0.0000, 4.0040]], "species": ["Nd", "Al", "Al", "Al", "Ni", "Ni"], "frac_coords": [[0.0000, 0.0000, 0.0000], [0.5000, 0.0000, 0.5000], [0.5000, 0.5000, 0.5000], [0.0000, 0.5000, 0.5000], [0.6667, 0.3333, 0.0000], [0.3333, 0.6667, 0.0000]], "dos_at_fermi_per_ev_cell": 4.9, "formation_enthalpy_0k_ev_per_atom": -0.6062, "magnetic_moment_mub_per_atom": 0.0000, "relative_energy_mev_per_atom": 18, "dft_energy_ry_per_atom": -0.3821}

---

(6)
{"formula": "HgHPd2", "functional": "PBE", "state": "relaxed", "cell": [[3.0207, 0.0000, 0.0000], [1.5104, 2.6160, 0.0000], [1.5104, 0.8720, 6.8566]], "species": ["Hg", "H", "Pd", "Pd"], "frac_coords": [[0.4985, 0.4985, 0.5045], [0.6737, 0.6737, 0.9788], [0.0524, 0.0524, 0.8427], [0.2753, 0.2753, 0.1740]], "dos_at_fermi_per_ev_cell": 1.8, "magnetic_moment_mub_per_atom": 0.0000, "relative_energy_mev_per_atom": 72, "dft_energy_ry_per_atom": -0.2628}